Record 1
Computed, not measured: LaSmPdRh after structural relaxation at the GGA-PBE level of DFT.

Lattice parameters (Å, degrees): 5.0703 5.0703 5.0703 60.00 60.00 60.00
Fractional coordinates of all 4 atoms:
Rh  0.5000  0.5000  0.5000
Pd  0.0000  0.0000  0.0000
Sm  0.2500  0.2500  0.2500
La  0.7500  0.7500  0.7500

Excess energy over the best structure of this formula in the dataset ... 62.5 meV per atom

=====

Record 2
Computed, not measured: LaSmPdRh after structural relaxation at the GGA-PBE level of DFT.

Lattice parameters (Å, degrees): 3.8864 4.5598 5.7191 90.00 109.86 90.00
Fractional coordinates of all 4 atoms:
La  0.1442  0.0000  0.2883
Sm  0.8661  0.5000  0.7322
Pd  0.5842  0.5000  0.1685
Rh  0.4055  0.0000  0.8110

Excess energy over the best structure of this formula in the dataset ... 0.0 meV per atom

=====

Record 3
Computed, not measured: LaSn2PdRh2 after structural relaxation at the GGA-PBE level of DFT.

Lattice parameters (Å, degrees): 4.9801 4.9801 5.5953 90.00 90.00 90.00
Fractional coordinates of all 6 atoms:
La  0.0000  0.0000  0.5000
Sn  0.5000  0.0000  0.0000
Sn  0.0000  0.5000  0.0000
Pd  0.0000  0.0000  0.0000
Rh  0.5000  0.5000  0.7389
Rh  0.5000  0.5000  0.2611

=====

Record 4
Computed, not measured: LaSnPdRh2 after structural relaxation at the GGA-PBE level of DFT.

Lattice parameters (Å, degrees): 4.8155 5.8959 4.8155 90.00 90.00 90.00
Fractional coordinates of all 5 atoms:
Rh  0.0000  0.0000  0.5000
Rh  0.5000  0.0000  0.0000
Sn  0.0000  0.0000  0.0000
Pd  0.5000  0.5000  0.5000
La  0.0000  0.5000  0.0000

=====

Record 5
Computed, not measured: LaSn4Pd2Rh after structural relaxation at the GGA-PBE level of DFT.

Lattice parameters (Å, degrees): 4.6050 4.6050 9.7988 76.41 76.41 60.00
Fractional coordinates of all 8 atoms:
La  0.0000  0.0000  0.0000
Sn  0.3987  0.3987  0.8040
Sn  0.8691  0.8691  0.3926
Sn  0.1309  0.1309  0.6074
Sn  0.6013  0.6013  0.1960
Pd  0.7621  0.7621  0.7137
Pd  0.2379  0.2379  0.2863
Rh  0.5000  0.5000  0.5000

=====

Record 6
Computed, not measured: La2Sn4PdRh3 after structural relaxation at the GGA-PBE level of DFT.

Lattice parameters (Å, degrees): 4.6235 4.6235 10.5158 90.00 90.00 90.00
Fractional coordinates of all 10 atoms:
La  0.5000  0.0000  0.2510
La  0.0000  0.5000  0.7490
Sn  0.5000  0.5000  0.0000
Sn  0.0000  0.0000  0.0000
Sn  0.5000  0.0000  0.6265
Sn  0.0000  0.5000  0.3735
Pd  0.5000  0.5000  0.5000
Rh  0.0000  0.0000  0.5000
Rh  0.5000  0.0000  0.8724
Rh  0.0000  0.5000  0.1276

=====

Record 7
Computed, not measured: SrLaPd2Rh after structural relaxation at the GGA-PBE level of DFT.

Lattice parameters (Å, degrees): 4.9019 6.1349 4.9019 90.00 90.00 90.00
Fractional coordinates of all 5 atoms:
Sr  0.0000  0.0000  0.0000
Rh  0.5000  0.5000  0.5000
Pd  0.0000  0.0000  0.5000
Pd  0.5000  0.0000  0.0000
La  0.0000  0.5000  0.0000

=====

Record 8
Computed, not measured: LaTlPdRh after structural relaxation at the GGA-PBE level of DFT.

Lattice parameters (Å, degrees): 4.9370 4.9370 4.9370 60.00 60.00 60.00
Fractional coordinates of all 4 atoms:
Tl  0.0000  0.0000  0.0000
Rh  0.2500  0.2500  0.2500
Pd  0.7500  0.7500  0.7500
La  0.5000  0.5000  0.5000

=====

Listing E_form for the structures above in their given order: -0.74 -0.80 -0.21 0.65 -0.54 -0.77 1.14 -0.49 eV per atom.